# BaBRh3 (PBEsol, relaxed)
data_BaBRh3
_chemical_formula_sum 'Ba1 B1 Rh3'
_cell_length_a 4.296
_cell_length_b 4.296
_cell_length_c 4.296
_cell_angle_alpha 90.00
_cell_angle_beta 90.00
_cell_angle_gamma 90.00
_space_group_name_H-M_alt 'P m -3 m'
_space_group_IT_number 221
_space_group_name_Hall '-P 4 2 3'
loop_
_atom_site_label
_atom_site_type_symbol
_atom_site_fract_x
_atom_site_fract_y
_atom_site_fract_z
Ba1 Ba 0.000 0.000 0.000
B1 B 0.500 0.500 0.500
Rh1 Rh 0.000 0.500 0.500
# electronic total energy = -34.02 eV/f.u.